one) Density functional theory data (PBE) for a relaxed structure of Li2HoAg.

Cell: 4.136 4.136 5.151 Å, 90.00 90.00 90.00°
Atoms (fractional coordinates):
Li 0.000 0.500 0.000
Li 0.500 0.000 0.000
Ho 0.000 0.000 0.500
Ag 0.500 0.500 0.500

Values from the calculation:
Space-group type: P4/mmm, No. 123
Magnetization: 0.01 μB/f.u.


two) Density functional theory data (PBE) for a relaxed structure of Li2HoAg.

Cell: 4.793 4.793 4.793 Å, 60.00 60.00 60.00°
Atoms (fractional coordinates):
Li 0.250 0.250 0.250
Li 0.750 0.750 0.750
Ho 0.000 0.000 0.000
Ag 0.500 0.500 0.500

Values from the calculation:
Space-group type: Fm-3m, No. 225
Magnetization: 0.00 μB/f.u.


Most stable: one). Least stable: two).


one) Density functional theory data (PBE) for a relaxed structure of HoLuAg.

Cell: 6.671 6.671 6.671 Å, 149.20 149.20 44.12°
Atoms (fractional coordinates):
Ho 0.000 0.000 0.000
Lu 0.701 0.701 0.000
Ag 0.345 0.345 0.000

Values from the calculation:
Space-group type: I4mm, No. 107
Magnetization: 0.88 μB/f.u.


two) Density functional theory data (PBE) for a relaxed structure of HoLuAg.

Cell: 4.999 4.999 3.593 Å, 90.00 90.00 120.00°
Atoms (fractional coordinates):
Ho 0.000 0.000 0.000
Lu 0.333 0.667 0.535
Ag 0.667 0.333 0.297

Values from the calculation:
Space-group type: P3m1, No. 156
Magnetization: 0.00 μB/f.u.


Most stable: one). Least stable: two).


one) Density functional theory data (PBE) for a relaxed structure of Ho2LuAg.

Cell: 5.318 5.318 5.318 Å, 60.00 60.00 60.00°
Atoms (fractional coordinates):
Ho 0.250 0.250 0.250
Ho 0.750 0.750 0.750
Lu 0.000 0.000 0.000
Ag 0.500 0.500 0.500

Values from the calculation:
Space-group type: Fm-3m, No. 225
Magnetization: 0.00 μB/f.u.


two) Density functional theory data (PBE) for a relaxed structure of Ho2LuAg.

Cell: 3.525 3.525 8.757 Å, 90.00 90.00 90.00°
Atoms (fractional coordinates):
Ho 0.000 0.000 0.219
Ho 0.000 0.000 0.781
Lu 0.500 0.500 0.500
Ag 0.500 0.500 0.000

Values from the calculation:
Space-group type: P4/mmm, No. 123
Magnetization: 0.00 μB/f.u.


Most stable: two). Least stable: one).


one) Density functional theory data (PBE) for a relaxed structure of Ho2LuAg.

Cell: 10.584 10.584 10.584 Å, 19.04 19.04 19.04°
Atoms (fractional coordinates):
Ho 0.243 0.243 0.243
Ho 0.757 0.757 0.757
Lu 0.000 0.000 0.000
Ag 0.500 0.500 0.500

Values from the calculation:
Space-group type: R-3m, No. 166
Magnetization: 0.00 μB/f.u.


two) Density functional theory data (PBE) for a relaxed structure of Ho2LuAg.

Cell: 5.329 5.329 3.753 Å, 90.00 90.00 90.00°
Atoms (fractional coordinates):
Ho 0.000 0.500 0.000
Ho 0.500 0.000 0.000
Lu 0.000 0.000 0.500
Ag 0.500 0.500 0.500

Values from the calculation:
Space-group type: P4/mmm, No. 123
Magnetization: 0.00 μB/f.u.


Most stable: one). Least stable: two).


one) Density functional theory data (PBE) for a relaxed structure of Ho8MgAg2.

Cell: 8.394 8.394 8.305 Å, 118.15 118.15 36.81°
Atoms (fractional coordinates):
Ho 0.065 0.065 0.227
Ho 0.145 0.145 0.702
Ho 0.315 0.315 0.542
Ho 0.399 0.399 0.034
Ho 0.601 0.601 0.966
Ho 0.685 0.685 0.458
Ho 0.855 0.855 0.298
Ho 0.935 0.935 0.773
Mg 0.500 0.500 0.500
Ag 0.226 0.226 0.127
Ag 0.774 0.774 0.873

Values from the calculation:
Space-group type: C2/m, No. 12
Magnetization: 0.00 μB/f.u.


two) Density functional theory data (PBE) for a relaxed structure of Ho8MgAg2.

Cell: 8.372 8.372 5.454 Å, 99.87 99.87 117.71°
Atoms (fractional coordinates):
Ho 0.092 0.326 0.603
Ho 0.230 0.770 0.000
Ho 0.326 0.092 0.603
Ho 0.398 0.398 0.199
Ho 0.602 0.602 0.801
Ho 0.674 0.908 0.397
Ho 0.770 0.230 0.000
Ho 0.908 0.674 0.397
Mg 0.000 0.000 0.000
Ag 0.304 0.696 0.500
Ag 0.696 0.304 0.500

Values from the calculation:
Space-group type: C2/m, No. 12
Magnetization: 0.00 μB/f.u.


Most stable: one). Least stable: two).


one) Density functional theory data (PBE) for a relaxed structure of HoMg2Ag2.

Cell: 4.920 4.920 5.637 Å, 111.79 111.79 61.17°
Atoms (fractional coordinates):
Ho 0.000 0.000 0.000
Mg 0.230 0.230 0.653
Mg 0.770 0.770 0.347
Ag 0.398 0.398 0.233
Ag 0.602 0.602 0.767

Values from the calculation:
Space-group type: C2/m, No. 12
Magnetization: 0.00 μB/f.u.


two) Density functional theory data (PBE) for a relaxed structure of HoMg2Ag2.

Cell: 4.944 4.944 5.521 Å, 90.00 90.00 120.00°
Atoms (fractional coordinates):
Ho 0.000 0.000 0.000
Mg 0.333 0.667 0.364
Mg 0.667 0.333 0.636
Ag 0.333 0.667 0.857
Ag 0.667 0.333 0.143

Values from the calculation:
Space-group type: P-3m1, No. 164
Magnetization: 0.00 μB/f.u.


Most stable: one). Least stable: two).